# CrTeSe2Br, relaxed, DFT PBE
data_CrTeSe2Br
_cell_length_a 4.807
_cell_length_b 4.807
_cell_length_c 4.881
_cell_angle_alpha 90.00
_cell_angle_beta 90.00
_cell_angle_gamma 90.00
_symmetry_space_group_name_H-M 'P 4/m m m'
_symmetry_Int_Tables_number 123
_symmetry_space_group_name_Hall '-P 4 2'
loop_
_atom_site_label
_atom_site_type_symbol
_atom_site_fract_x
_atom_site_fract_y
_atom_site_fract_z
_atom_site_occupancy
Cr1 Cr 0.000 0.000 0.000 1
Te1 Te 0.500 0.500 0.500 1
Se1 Se 0.000 0.500 0.000 1
Br1 Br 0.000 0.000 0.500 1
# ΔE to the lowest computed polymorph   0.0 meV/atom
# E_form (uncorrected)   0.24 eV/atom
# Density   6.15 g/cm³
# Energy   -4.038 eV/atom



# Pr2Dy5Y, relaxed, DFT PBE
data_Pr2Dy5Y
_cell_length_a 16.301
_cell_length_b 9.932
_cell_length_c 6.607
_cell_angle_alpha 90.00
_cell_angle_beta 99.33
_cell_angle_gamma 90.00
_symmetry_space_group_name_H-M 'C 1 2/c 1'
_symmetry_Int_Tables_number 15
loop_
_symmetry_equiv_pos_as_xyz
'x,y,z'
'-x,-y,-z'
'-x,y,-z+1/2'
'x,-y,z+1/2'
'x+1/2,y+1/2,z'
'-x+1/2,-y+1/2,-z'
'-x+1/2,y+1/2,-z+1/2'
'x+1/2,-y+1/2,z+1/2'
loop_
_atom_site_label
_atom_site_type_symbol
_atom_site_fract_x
_atom_site_fract_y
_atom_site_fract_z
_atom_site_occupancy
Pr1 Pr 0.079 0.246 0.117 1
Dy1 Dy 0.000 0.440 0.750 1
Dy2 Dy 0.101 0.088 0.648 1
Dy3 Dy 0.198 0.412 0.526 1
Y1 Y 0.250 0.250 0.000 1
# ΔE to the lowest computed polymorph   143.6 meV/atom
# Density   7.45 g/cm³
# Energy   -4.715 eV/atom
# ΔH_f (0 K)   164 meV/atom



# PuSbPb2, relaxed, DFT PBE
data_PuSbPb2
_cell_length_a 3.3744
_cell_length_b 3.3744
_cell_length_c 37.5296
_cell_angle_alpha 90.00
_cell_angle_beta 90.00
_cell_angle_gamma 120.00
_symmetry_space_group_name_H-M 'R -3 m'
_symmetry_Int_Tables_number 166
_symmetry_space_group_name_Hall '-R 3 2"'
loop_
_atom_site_label
_atom_site_type_symbol
_atom_site_fract_x
_atom_site_fract_y
_atom_site_fract_z
_atom_site_occupancy
Pu1 Pu 0.0000 0.0000 0.0000 1
Sb1 Sb 0.0000 0.0000 0.5000 1
Pb1 Pb 0.0000 0.0000 0.0884 1
# ΔE to the lowest computed polymorph   529.3 meV/atom
# E_form (uncorrected)   0.29 eV/atom
# Density   10.50 g/cm³
# Energy   -6.175 eV/atom